## w
Compound: Pr4Nd3In2
Source: the Alexandria database
Functional: PBE
Structure: optimized geometry

Lattice parameters (Å, degrees): 6.206 6.206 10.781 107.33 107.33 46.72
Element x y z (fractional)
Pr 0.008 0.008 0.175
Pr 0.330 0.330 0.610
Pr 0.670 0.670 0.390
Pr 0.992 0.992 0.825
Nd 0.000 0.000 0.500
Nd 0.327 0.327 0.947
Nd 0.673 0.673 0.053
In 0.338 0.338 0.281
In 0.662 0.662 0.719

Results
**Total magnetic moment**: 0.00 Bohr magnetons per cell
**Calculated density**: 7.1 Mg/m³


## x
Compound: Pr4Nd3In2
Source: the Alexandria database
Functional: PBE
Structure: optimized geometry

Lattice parameters (Å, degrees): 6.985 6.985 8.786 103.54 103.54 46.48
Element x y z (fractional)
Pr 0.121 0.121 0.155
Pr 0.331 0.331 0.538
Pr 0.669 0.669 0.462
Pr 0.879 0.879 0.845
Nd 0.000 0.000 0.500
Nd 0.421 0.421 0.148
Nd 0.579 0.579 0.852
In 0.209 0.209 0.818
In 0.791 0.791 0.182

Results
**Total magnetic moment**: 0.00 Bohr magnetons per cell
**Calculated density**: 6.8 Mg/m³


Best to worst by energy: w, x.


## w
Compound: Pr2Nd2In3
Source: the Alexandria database
Functional: PBE
Structure: optimized geometry

Lattice parameters (Å, degrees): 6.282 6.282 8.805 92.90 92.90 37.43
Element x y z (fractional)
Pr 0.059 0.059 0.203
Pr 0.941 0.941 0.797
Nd 0.209 0.209 0.662
Nd 0.791 0.791 0.338
In 0.338 0.338 0.052
In 0.500 0.500 0.500
In 0.662 0.662 0.948

Results
**Total magnetic moment**: 0.00 Bohr magnetons per cell
**Calculated density**: 7.2 Mg/m³


## x
Compound: Pr2Nd2In3
Source: the Alexandria database
Functional: PBE
Structure: optimized geometry

Lattice parameters (Å, degrees): 4.591 3.634 12.812 90.00 100.30 90.00
Element x y z (fractional)
Pr 0.202 0.000 0.402
Pr 0.798 0.000 0.598
Nd 0.070 0.000 0.137
Nd 0.930 0.000 0.863
In 0.360 0.500 0.723
In 0.500 0.500 0.000
In 0.640 0.500 0.277

Results
**Total magnetic moment**: 0.00 Bohr magnetons per cell
**Calculated density**: 7.2 Mg/m³


Best to worst by energy: w, x.


## w
Compound: PrNdTmIn
Source: the Alexandria database
Functional: PBE
Structure: optimized geometry

Lattice parameters (Å, degrees): 5.551 5.551 5.551 60.00 60.00 60.00
Element x y z (fractional)
Pr 0.000 0.000 0.000
Nd 0.250 0.250 0.250
Tm 0.500 0.500 0.500
In 0.750 0.750 0.750

Results
**Total magnetic moment**: 1.24 Bohr magnetons per cell
**Calculated density**: 7.8 Mg/m³


## x
Compound: PrNdTmIn
Source: the Alexandria database
Functional: PBE
Structure: optimized geometry

Lattice parameters (Å, degrees): 5.546 5.546 5.546 60.00 60.00 60.00
Element x y z (fractional)
Pr 0.000 0.000 0.000
Nd 0.750 0.750 0.750
Tm 0.250 0.250 0.250
In 0.500 0.500 0.500

Results
**Total magnetic moment**: 1.13 Bohr magnetons per cell
**Calculated density**: 7.8 Mg/m³


Best to worst by energy: w, x.


## w
Compound: PrNdZnIn
Source: the Alexandria database
Functional: PBE
Structure: optimized geometry

Lattice parameters (Å, degrees): 3.755 3.755 7.771 90.00 90.00 90.00
Element x y z (fractional)
Pr 0.000 0.000 0.000
Nd 0.000 0.000 0.538
Zn 0.500 0.500 0.765
In 0.500 0.500 0.272

Results
**Total magnetic moment**: 0.00 Bohr magnetons per cell
**Calculated density**: 7.1 Mg/m³


## x
Compound: PrNdZnIn
Source: the Alexandria database
Functional: PBE
Structure: optimized geometry

Lattice parameters (Å, degrees): 5.397 5.397 5.397 60.00 60.00 60.00
Element x y z (fractional)
Pr 0.000 0.000 0.000
Nd 0.500 0.500 0.500
Zn 0.250 0.250 0.250
In 0.750 0.750 0.750

Results
**Total magnetic moment**: 0.00 Bohr magnetons per cell
**Calculated density**: 7.0 Mg/m³


Best to worst by energy: w, x.


## w
Compound: Nd5In2Pt
Source: the Alexandria database
Functional: PBE
Structure: optimized geometry

Lattice parameters (Å, degrees): 6.809 6.809 6.809 116.20 116.20 96.73
Element x y z (fractional)
Nd 0.000 0.000 0.000
Nd 0.010 0.010 0.501
Nd 0.010 0.509 0.000
Nd 0.509 0.010 0.000
Nd 0.509 0.509 0.499
In 0.010 0.510 0.500
In 0.510 0.010 0.500
Pt 0.594 0.594 0.000

Results
**Total magnetic moment**: 0.00 Bohr magnetons per cell
**Calculated density**: 8.1 Mg/m³


## x
Compound: Nd5In2Pt
Source: the Alexandria database
Functional: PBE
Structure: optimized geometry

Lattice parameters (Å, degrees): 7.718 12.797 4.933 90.00 90.00 90.00
Element x y z (fractional)
Nd 0.000 0.000 0.000
Nd 0.134 0.290 0.000
Nd 0.181 0.576 0.500
Nd 0.319 0.076 0.500
Nd 0.366 0.790 0.000
Nd 0.500 0.500 0.000
Nd 0.634 0.210 0.000
Nd 0.681 0.924 0.500
Nd 0.819 0.424 0.500
Nd 0.866 0.710 0.000
In 0.086 0.835 0.500
In 0.414 0.335 0.500
In 0.586 0.665 0.500
In 0.914 0.165 0.500
Pt 0.000 0.500 0.000
Pt 0.500 0.000 0.000

Results
**Total magnetic moment**: 0.00 Bohr magnetons per cell
**Calculated density**: 7.8 Mg/m³


Best to worst by energy: x, w.


## w
Compound: Nd8In2Rh3
Source: the Alexandria database
Functional: PBE
Structure: optimized geometry

Lattice parameters (Å, degrees): 9.121 5.061 9.131 90.00 111.96 90.00
Element x y z (fractional)
Nd 0.111 0.000 0.389
Nd 0.140 0.500 0.867
Nd 0.366 0.500 0.641
Nd 0.386 0.000 0.114
Nd 0.614 0.000 0.886
Nd 0.634 0.500 0.359
Nd 0.860 0.500 0.133
Nd 0.889 0.000 0.611
In 0.245 0.500 0.256
In 0.755 0.500 0.744
Rh 0.247 0.000 0.747
Rh 0.500 0.500 0.000
Rh 0.753 0.000 0.253

Results
**Total magnetic moment**: 0.00 Bohr magnetons per cell
**Calculated density**: 7.2 Mg/m³


## x
Compound: Nd8In2Rh3
Source: the Alexandria database
Functional: PBE
Structure: optimized geometry

Lattice parameters (Å, degrees): 9.291 9.291 6.820 107.31 107.31 49.17
Element x y z (fractional)
Nd 0.094 0.094 0.425
Nd 0.166 0.644 0.093
Nd 0.353 0.353 0.514
Nd 0.356 0.834 0.907
Nd 0.644 0.166 0.093
Nd 0.647 0.647 0.486
Nd 0.834 0.356 0.907
Nd 0.906 0.906 0.575
In 0.245 0.245 0.871
In 0.755 0.755 0.129
Rh 0.000 0.000 0.000
Rh 0.307 0.693 0.500
Rh 0.693 0.307 0.500

Results
**Total magnetic moment**: 0.00 Bohr magnetons per cell
**Calculated density**: 6.7 Mg/m³


Best to worst by energy: w, x.


## w
Compound: Nd4InRh
Source: the Alexandria database
Functional: PBE
Structure: optimized geometry

Lattice parameters (Å, degrees): 9.969 9.969 9.969 60.00 60.00 60.00
Element x y z (fractional)
Nd 0.058 0.058 0.442
Nd 0.058 0.442 0.058
Nd 0.058 0.442 0.442
Nd 0.188 0.188 0.812
Nd 0.188 0.812 0.188
Nd 0.188 0.812 0.812
Nd 0.203 0.599 0.599
Nd 0.442 0.058 0.058
Nd 0.442 0.058 0.442
Nd 0.442 0.442 0.058
Nd 0.599 0.203 0.599
Nd 0.599 0.599 0.203
Nd 0.599 0.599 0.599
Nd 0.812 0.188 0.188
Nd 0.812 0.188 0.812
Nd 0.812 0.812 0.188
In 0.507 0.831 0.831
In 0.831 0.507 0.831
In 0.831 0.831 0.507
In 0.831 0.831 0.831
Rh 0.392 0.392 0.392
Rh 0.392 0.392 0.824
Rh 0.392 0.824 0.392
Rh 0.824 0.392 0.392

Results
**Total magnetic moment**: 0.00 Bohr magnetons per cell
**Calculated density**: 7.5 Mg/m³


## x
Compound: Nd4InRh
Source: the Alexandria database
Functional: PBE
Structure: optimized geometry

Lattice parameters (Å, degrees): 8.395 8.395 6.139 102.36 102.36 115.24
Element x y z (fractional)
Nd 0.069 0.703 0.928
Nd 0.205 0.347 0.653
Nd 0.297 0.931 0.572
Nd 0.347 0.205 0.153
Nd 0.653 0.795 0.847
Nd 0.703 0.069 0.428
Nd 0.795 0.653 0.347
Nd 0.931 0.297 0.072
In 0.379 0.621 0.250
In 0.621 0.379 0.750
Rh 0.000 0.000 0.250
Rh 0.000 0.000 0.750

Results
**Total magnetic moment**: 0.00 Bohr magnetons per cell
**Calculated density**: 7.4 Mg/m³


Best to worst by energy: w, x.


## w
Compound: Nd3InRh3
Source: the Alexandria database
Functional: PBE
Structure: optimized geometry

Lattice parameters (Å, degrees): 8.601 8.601 5.602 90.00 90.00 120.00
Element x y z (fractional)
Nd 0.072 0.678 0.250
Nd 0.322 0.394 0.250
Nd 0.394 0.072 0.750
Nd 0.606 0.928 0.250
Nd 0.678 0.606 0.750
Nd 0.928 0.322 0.750
In 0.333 0.667 0.750
In 0.667 0.333 0.250
Rh 0.061 0.739 0.750
Rh 0.261 0.322 0.750
Rh 0.322 0.061 0.250
Rh 0.678 0.939 0.750
Rh 0.739 0.678 0.250
Rh 0.939 0.261 0.250

Results
**Total magnetic moment**: 0.00 Bohr magnetons per cell
**Calculated density**: 7.9 Mg/m³


## x
Compound: Nd3InRh3
Source: the Alexandria database
Functional: PBE
Structure: optimized geometry

Lattice parameters (Å, degrees): 5.733 5.733 13.824 90.00 90.00 134.51
Element x y z (fractional)
Nd 0.021 0.979 0.750
Nd 0.301 0.699 0.607
Nd 0.301 0.699 0.893
Nd 0.699 0.301 0.107
Nd 0.699 0.301 0.393
Nd 0.979 0.021 0.250
In 0.000 0.000 0.000
In 0.000 0.000 0.500
Rh 0.251 0.749 0.250
Rh 0.409 0.591 0.093
Rh 0.409 0.591 0.407
Rh 0.591 0.409 0.593
Rh 0.591 0.409 0.907
Rh 0.749 0.251 0.750

Results
**Total magnetic moment**: 0.00 Bohr magnetons per cell
**Calculated density**: 8.8 Mg/m³


Best to worst by energy: x, w.